(one)
LiGe2Au6 (GGA-PBE, relaxed); N(E_F) = 2.8 states/eV per cell; volume = 160.6 Å³/cell
1.0
-1.532 -3.084 3.540
-3.972 -3.768 -1.556
3.353 -5.955 -0.292
Au Li Ge
6 1 2
direct
0.205 0.963 0.626
0.795 0.037 0.374
0.535 0.638 0.292
0.317 0.197 0.170
0.465 0.362 0.708
0.683 0.803 0.830
0.000 0.500 0.500
0.125 0.707 0.043
0.875 0.293 0.957

=====

(two)
LiGe2Au6 (GGA-PBE, relaxed); N(E_F) = 4.1 states/eV per cell; volume = 346.6 Å³/cell
1.0
-0.866 1.888 6.576
5.216 -1.953 1.248
3.416 7.880 -1.943
Au Li Ge
12 2 4
direct
0.655 0.152 0.558
0.286 0.353 0.466
0.250 0.132 0.763
0.345 0.848 0.442
0.214 0.853 0.034
0.155 0.348 0.058
0.714 0.647 0.534
0.750 0.368 0.263
0.786 0.147 0.966
0.750 0.868 0.237
0.250 0.632 0.737
0.845 0.652 0.942
0.000 0.000 0.500
0.500 0.500 0.000
0.580 0.870 0.779
0.420 0.130 0.221
0.080 0.630 0.279
0.920 0.370 0.721

=====

Energy above the most stable structure, in kJ/mol of atoms: (one) 0.0; (two) 0.7

=====

(one)
Li6GeAu2 (GGA-PBE, relaxed); N(E_F) = 2.5 states/eV per cell; volume = 135.9 Å³/cell
1.0
-1.993 -1.569 1.207
0.825 3.848 6.355
-4.091 6.137 1.212
Li Ge Au
6 1 2
direct
0.499 0.000 0.671
0.501 0.329 0.000
0.500 0.329 0.671
0.500 0.671 0.329
0.499 0.671 0.000
0.501 0.000 0.329
0.000 0.000 0.000
0.000 0.667 0.667
0.000 0.333 0.333

=====

(two)
Li6GeAu2 (GGA-PBE, relaxed); N(E_F) = 2.9 states/eV per cell; volume = 144.1 Å³/cell
1.0
-2.780 -0.045 -0.732
1.546 -4.950 -5.566
-1.788 -2.526 6.949
Li Ge Au
6 1 2
direct
0.000 0.708 0.708
0.000 0.292 0.000
0.500 0.000 0.637
0.500 0.637 0.000
0.000 0.000 0.292
0.500 0.363 0.363
0.500 0.000 0.000
0.000 0.333 0.667
0.000 0.667 0.333

=====

Energy above the most stable structure, in kJ/mol of atoms: (one) 0.0; (two) 1.4

=====

(one)
Li3GeAu6 (GGA-PBE, relaxed); N(E_F) = 6.5 states/eV per cell; volume = 358.7 Å³/cell
1.0
-0.206 -4.981 -0.241
7.208 -0.078 -4.554
3.409 -0.518 7.798
Li Au Ge
6 12 2
direct
0.804 0.712 0.883
0.304 0.883 0.712
0.654 0.382 0.618
0.804 0.117 0.288
0.304 0.288 0.117
0.154 0.618 0.382
0.690 0.429 0.307
0.690 0.693 0.571
0.503 0.948 0.052
0.190 0.571 0.693
0.851 0.016 0.583
0.351 0.984 0.417
0.351 0.583 0.016
0.003 0.052 0.948
0.029 0.835 0.165
0.851 0.417 0.984
0.529 0.165 0.835
0.190 0.307 0.429
0.608 0.734 0.266
0.108 0.266 0.734

=====

(two)
Li3GeAu6 (GGA-PBE, relaxed); N(E_F) = 4.7 states/eV per cell; volume = 335.8 Å³/cell
1.0
4.710 0.000 0.000
0.000 7.049 -2.899
0.000 -0.377 10.270
Au Li Ge
12 6 2
direct
0.750 0.740 0.520
0.250 0.070 0.870
0.250 0.652 0.669
0.750 0.532 0.929
0.250 0.260 0.480
0.750 0.829 0.830
0.250 0.852 0.270
0.750 0.930 0.130
0.750 0.148 0.730
0.250 0.171 0.170
0.250 0.468 0.071
0.750 0.348 0.331
0.750 0.225 0.025
0.250 0.775 0.975
0.250 0.555 0.373
0.750 0.632 0.225
0.250 0.368 0.775
0.750 0.445 0.627
0.750 0.034 0.419
0.250 0.966 0.581

=====

Energy above the most stable structure, in kJ/mol of atoms: (one) 5.9; (two) 0.0